1.
A plane-wave DFT calculation with PBE-GGA was carried out for a relaxed structure of Sm5PaP6.

Cell lengths 7.063, 7.063, 7.058 Å; angles 99.59, 99.59, 119.97 degrees
Positions (direct):
1 Sm 0.000 0.000 0.000
2 Sm 0.166 0.834 0.500
3 Sm 0.331 0.669 0.000
4 Sm 0.669 0.331 0.000
5 Sm 0.834 0.166 0.500
6 Pa 0.500 0.500 0.500
7 P 0.095 0.419 0.256
8 P 0.259 0.259 0.744
9 P 0.419 0.095 0.256
10 P 0.581 0.905 0.744
11 P 0.741 0.741 0.256
12 P 0.905 0.581 0.744

Results
- calculated total energy (eV/atom) = -7.02
- crystal system = monoclinic
- space-group type = C2/m (12)


2.
A plane-wave DFT calculation with PBE-GGA was carried out for a relaxed structure of Li4Ga2Pb.

Cell lengths 7.691, 4.444, 8.266 Å; angles 90.00, 90.08, 90.00 degrees
Positions (direct):
1 Li 0.166 0.000 0.394
2 Li 0.167 0.000 0.740
3 Li 0.333 0.500 0.260
4 Li 0.334 0.500 0.606
5 Li 0.666 0.500 0.394
6 Li 0.667 0.500 0.740
7 Li 0.833 0.000 0.260
8 Li 0.834 0.000 0.606
9 Ga 0.167 0.000 0.069
10 Ga 0.333 0.500 0.931
11 Ga 0.667 0.500 0.069
12 Ga 0.833 0.000 0.931
13 Pb 0.000 0.500 0.500
14 Pb 0.500 0.000 0.500

Results
- energy relative to the lowest polymorph listed for this composition (eV/atom) = 0.0185
- calculated total energy (eV/atom) = -2.58
- crystal system = monoclinic
- space-group type = C2/m (12)


3.
A plane-wave DFT calculation with PBE-GGA was carried out for a relaxed structure of Ca4Ga2Hg5.

Cell lengths 7.851, 3.710, 9.862 Å; angles 90.00, 95.37, 90.00 degrees
Positions (direct):
1 Ca 0.180 0.000 0.371
2 Ca 0.265 0.000 0.923
3 Ca 0.735 0.000 0.077
4 Ca 0.820 0.000 0.629
5 Ga 0.063 0.500 0.124
6 Ga 0.937 0.500 0.876
7 Hg 0.166 0.500 0.647
8 Hg 0.435 0.500 0.183
9 Hg 0.500 0.500 0.500
10 Hg 0.565 0.500 0.817
11 Hg 0.834 0.500 0.353

Results
- calculated total energy (eV/atom) = -1.85
- crystal system = monoclinic
- space-group type = P2/m (10)


Question: Look up the calculated total energy of the third one.
Answer: -1.85 eV/atom


Question: Which value of calculated total energy does entry 2 give?
Answer: -2.58 eV/atom


Question: The highest calculated total energy belongs to which entry?
Answer: Ca4Ga2Hg5